Compound: NdSmBr6
Source: the Alexandria database
Functional: GGA-PBE
Structure: optimized geometry

ΔE to the lowest computed polymorph (eV per atom): 0.000
Formation energy (no corrections) (eV per atom): -1.8405
DFT total energy (eV/cell): -68.5
Magnetic moment (μB per formula unit): 0.0
SG: No. 12

```
NdSmBr6
1.0
7.177 0.000 0.000
0.000 13.310 0.000
-2.053 0.000 6.875
Nd Sm Br
2 2 12
direct
0.000 0.000 0.000 Nd
0.500 0.500 0.000 Nd
0.000 0.500 0.500 Sm
0.500 0.000 0.500 Sm
0.246 0.353 0.748 Br
0.246 0.647 0.748 Br
0.250 0.000 0.747 Br
0.250 0.500 0.253 Br
0.254 0.147 0.252 Br
0.254 0.853 0.252 Br
0.746 0.147 0.748 Br
0.746 0.853 0.748 Br
0.750 0.000 0.253 Br
0.750 0.500 0.747 Br
0.754 0.353 0.252 Br
0.754 0.647 0.252 Br
```

---

Compound: NdSmBr4
Source: the Alexandria database
Functional: GGA-PBE
Structure: optimized geometry

ΔE to the lowest computed polymorph (eV per atom): 0.038
Formation energy (no corrections) (eV per atom): -1.5927
DFT total energy (eV/cell): -51.5
Magnetic moment (μB per formula unit): 0.0
SG: No. 119

```
NdSmBr4
1.0
5.837 0.000 0.000
0.000 5.837 0.000
0.000 0.000 11.397
Nd Sm Br
2 2 8
direct
0.000 0.000 0.000 Nd
0.500 0.500 0.500 Nd
0.000 0.500 0.750 Sm
0.500 0.000 0.250 Sm
0.000 0.000 0.265 Br
0.000 0.000 0.735 Br
0.000 0.500 0.012 Br
0.000 0.500 0.488 Br
0.500 0.000 0.512 Br
0.500 0.000 0.988 Br
0.500 0.500 0.235 Br
0.500 0.500 0.765 Br
```

---

Compound: NdSm2Br8
Source: the Alexandria database
Functional: GGA-PBE
Structure: optimized geometry

Formation energy (no corrections) (eV per atom): -1.6710
DFT total energy (eV/cell): -46.0
Magnetic moment (μB per formula unit): 1.0
SG: No. 12

```
NdSm2Br8
1.0
9.278 -3.917 0.000
9.278 3.917 0.000
-0.971 0.000 7.016
Nd Sm Br
1 2 8
direct
0.000 0.000 0.000 Nd
0.147 0.147 0.446 Sm
0.853 0.853 0.554 Sm
0.140 0.140 0.840 Br
0.203 0.679 0.723 Br
0.285 0.285 0.370 Br
0.321 0.797 0.277 Br
0.679 0.203 0.723 Br
0.715 0.715 0.630 Br
0.797 0.321 0.277 Br
0.860 0.860 0.160 Br
```

---

Compound: NdSmBr
Source: the Alexandria database
Functional: GGA-PBE
Structure: optimized geometry

ΔE to the lowest computed polymorph (eV per atom): 0.168
Formation energy (no corrections) (eV per atom): -0.5810
DFT total energy (eV/cell): -51.6
Magnetic moment (μB per formula unit): 0.0
SG: No. 12

```
NdSmBr
1.0
11.263 0.000 0.000
0.000 3.564 0.000
-0.048 0.000 9.707
Nd Sm Br
4 4 4
direct
0.144 0.000 0.300 Nd
0.356 0.500 0.700 Nd
0.644 0.500 0.300 Nd
0.856 0.000 0.700 Nd
0.133 0.000 0.935 Sm
0.367 0.500 0.065 Sm
0.633 0.500 0.935 Sm
0.867 0.000 0.065 Sm
0.134 0.000 0.620 Br
0.366 0.500 0.380 Br
0.634 0.500 0.620 Br
0.866 0.000 0.380 Br
```

---

Compound: NdSmBr4
Source: the Alexandria database
Functional: GGA-PBE
Structure: optimized geometry

ΔE to the lowest computed polymorph (eV per atom): 0.000
Formation energy (no corrections) (eV per atom): -1.6303
DFT total energy (eV/cell): -51.9
Magnetic moment (μB per formula unit): 0.0
SG: No. 74

```
NdSmBr4
1.0
-4.034 4.093 5.769
4.034 -4.093 5.769
4.034 4.093 -5.769
Nd Sm Br
2 2 8
direct
0.500 0.000 0.000 Nd
0.500 0.500 0.500 Nd
0.000 0.000 0.000 Sm
0.500 0.000 0.500 Sm
0.224 0.745 0.480 Br
0.235 0.255 0.980 Br
0.240 0.255 0.514 Br
0.240 0.726 0.986 Br
0.760 0.274 0.014 Br
0.760 0.745 0.486 Br
0.765 0.745 0.020 Br
0.776 0.255 0.520 Br
```

---

Compound: NdSmBr
Source: the Alexandria database
Functional: GGA-PBE
Structure: optimized geometry

ΔE to the lowest computed polymorph (eV per atom): 0.000
Formation energy (no corrections) (eV per atom): -0.7493
DFT total energy (eV/cell): -13.4
Magnetic moment (μB per formula unit): 0.4
SG: No. 156

```
NdSmBr
1.0
3.819 0.000 0.000
-1.910 3.307 0.000
0.000 0.000 7.553
Nd Sm Br
1 1 1
direct
0.000 0.000 0.000 Nd
0.333 0.667 0.629 Sm
0.667 0.333 0.321 Br
```

---

Compound: NdSmBr6
Source: the Alexandria database
Functional: GGA-PBE
Structure: optimized geometry

ΔE to the lowest computed polymorph (eV per atom): 0.012
Formation energy (no corrections) (eV per atom): -1.8285
DFT total energy (eV/cell): -34.2
Magnetic moment (μB per formula unit): 0.0
SG: No. 148

```
NdSmBr6
1.0
3.604 2.081 6.605
-3.604 2.081 6.605
0.000 -4.161 6.605
Nd Sm Br
1 1 6
direct
0.000 0.000 0.000 Nd
0.500 0.500 0.500 Sm
0.091 0.412 0.748 Br
0.252 0.909 0.588 Br
0.412 0.748 0.091 Br
0.588 0.252 0.909 Br
0.748 0.091 0.412 Br
0.909 0.588 0.252 Br
```

---

Compound: Nd2SnBr
Source: the Alexandria database
Functional: GGA-PBE
Structure: optimized geometry

ΔE to the lowest computed polymorph (eV per atom): 0.198
Formation energy (no corrections) (eV per atom): -0.7319
DFT total energy (eV/cell): -36.3
Magnetic moment (μB per formula unit): 0.0
SG: No. 38

```
Nd2SnBr
1.0
6.158 0.000 0.000
0.000 5.301 0.000
0.000 0.000 9.211
Nd Sn Br
4 2 2
direct
0.000 0.000 0.000 Nd
0.000 0.500 0.500 Nd
0.500 0.000 0.333 Nd
0.500 0.500 0.833 Nd
0.500 0.000 0.000 Sn
0.500 0.500 0.500 Sn
0.000 0.000 0.333 Br
0.000 0.500 0.833 Br
```

---

Compound: Nd4SnBr5
Source: the Alexandria database
Functional: GGA-PBE
Structure: optimized geometry

Formation energy (no corrections) (eV per atom): -1.4206
DFT total energy (eV/cell): -45.6
Magnetic moment (μB per formula unit): 0.0
SG: No. 12

```
Nd4SnBr5
1.0
9.318 -2.131 0.000
9.318 2.131 0.000
-1.685 0.000 8.757
Nd Sn Br
4 1 5
direct
0.002 0.002 0.240 Nd
0.337 0.337 0.931 Nd
0.663 0.663 0.069 Nd
0.998 0.998 0.760 Nd
0.500 0.500 0.000 Sn
0.168 0.168 0.313 Br
0.168 0.168 0.822 Br
0.500 0.500 0.500 Br
0.832 0.832 0.178 Br
0.832 0.832 0.687 Br
```

---

Compound: Nd2SnBr
Source: the Alexandria database
Functional: GGA-PBE
Structure: optimized geometry

ΔE to the lowest computed polymorph (eV per atom): 0.042
Formation energy (no corrections) (eV per atom): -0.8873
DFT total energy (eV/cell): -75.0
Magnetic moment (μB per formula unit): 0.0
SG: No. 225

```
Nd2SnBr
1.0
7.712 0.000 0.000
0.000 7.712 0.000
0.000 0.000 7.712
Nd Sn Br
8 4 4
direct
0.250 0.250 0.250 Nd
0.250 0.250 0.750 Nd
0.250 0.750 0.250 Nd
0.250 0.750 0.750 Nd
0.750 0.250 0.250 Nd
0.750 0.250 0.750 Nd
0.750 0.750 0.250 Nd
0.750 0.750 0.750 Nd
0.000 0.000 0.000 Sn
0.000 0.500 0.500 Sn
0.500 0.000 0.500 Sn
0.500 0.500 0.000 Sn
0.000 0.000 0.500 Br
0.000 0.500 0.000 Br
0.500 0.000 0.000 Br
0.500 0.500 0.500 Br
```

---

Compound: Nd2SnBr
Source: the Alexandria database
Functional: GGA-PBE
Structure: optimized geometry

ΔE to the lowest computed polymorph (eV per atom): 0.024
Formation energy (no corrections) (eV per atom): -0.9061
DFT total energy (eV/cell): -18.8
Magnetic moment (μB per formula unit): 0.0
SG: No. 123

```
Nd2SnBr
1.0
3.604 0.000 0.000
0.000 3.604 0.000
0.000 0.000 8.488
Nd Sn Br
2 1 1
direct
0.000 0.000 0.248 Nd
0.000 0.000 0.752 Nd
0.500 0.500 0.000 Sn
0.500 0.500 0.500 Br
```

---

Compound: Nd3SnBr3
Source: the Alexandria database
Functional: GGA-PBE
Structure: optimized geometry

Formation energy (no corrections) (eV per atom): -1.2778
DFT total energy (eV/cell): -64.5
Magnetic moment (μB per formula unit): 0.0
SG: No. 148

```
Nd3SnBr3
1.0
3.708 2.141 10.925
-3.708 2.141 10.925
0.000 -4.281 10.925
Nd Sn Br
6 2 6
direct
0.055 0.385 0.726 Nd
0.274 0.945 0.615 Nd
0.385 0.726 0.055 Nd
0.615 0.274 0.945 Nd
0.726 0.055 0.385 Nd
0.945 0.615 0.274 Nd
0.333 0.333 0.333 Sn
0.667 0.667 0.667 Sn
0.110 0.770 0.449 Br
0.230 0.551 0.890 Br
0.449 0.110 0.770 Br
0.551 0.890 0.230 Br
0.770 0.449 0.110 Br
0.890 0.230 0.551 Br
```

---

Compound: Nd2SnBr
Source: the Alexandria database
Functional: GGA-PBE
Structure: optimized geometry

ΔE to the lowest computed polymorph (eV per atom): 0.114
Formation energy (no corrections) (eV per atom): -0.8156
DFT total energy (eV/cell): -55.4
Magnetic moment (μB per formula unit): 0.0
SG: No. 166

```
Nd2SnBr
1.0
3.653 0.000 0.000
-1.826 3.163 0.000
0.000 0.000 29.796
Nd Sn Br
6 3 3
direct
0.000 0.000 0.246 Nd
0.000 0.000 0.754 Nd
0.333 0.667 0.421 Nd
0.333 0.667 0.913 Nd
0.667 0.333 0.087 Nd
0.667 0.333 0.579 Nd
0.000 0.000 0.000 Sn
0.333 0.667 0.667 Sn
0.667 0.333 0.333 Sn
0.000 0.000 0.500 Br
0.333 0.667 0.167 Br
0.667 0.333 0.833 Br
```

---

Compound: NdSnBr2
Source: the Alexandria database
Functional: GGA-PBE
Structure: optimized geometry

Formation energy (no corrections) (eV per atom): -0.5622
DFT total energy (eV/cell): -43.1
Magnetic moment (μB per formula unit): 0.0
SG: No. 166

```
NdSnBr2
1.0
3.763 0.000 0.000
-1.881 3.259 0.000
0.000 0.000 32.448
Nd Sn Br
3 3 6
direct
0.000 0.000 0.000 Nd
0.333 0.667 0.667 Nd
0.667 0.333 0.333 Nd
0.000 0.000 0.500 Sn
0.333 0.667 0.167 Sn
0.667 0.333 0.833 Sn
0.000 0.000 0.087 Br
0.000 0.000 0.913 Br
0.333 0.667 0.580 Br
0.333 0.667 0.753 Br
0.667 0.333 0.247 Br
0.667 0.333 0.420 Br
```

---

Compound: Nd2SnBr
Source: the Alexandria database
Functional: GGA-PBE
Structure: optimized geometry

ΔE to the lowest computed polymorph (eV per atom): 0.000
Formation energy (no corrections) (eV per atom): -0.9298
DFT total energy (eV/cell): -56.8
Magnetic moment (μB per formula unit): 0.0
SG: No. 160

```
Nd2SnBr
1.0
4.406 0.000 0.000
-2.203 3.816 0.000
0.000 0.000 23.271
Nd Sn Br
6 3 3
direct
0.000 0.000 0.000 Nd
0.000 0.000 0.185 Nd
0.333 0.667 0.667 Nd
0.333 0.667 0.851 Nd
0.667 0.333 0.333 Nd
0.667 0.333 0.518 Nd
0.000 0.000 0.593 Sn
0.333 0.667 0.260 Sn
0.667 0.333 0.927 Sn
0.000 0.000 0.423 Br
0.333 0.667 0.089 Br
0.667 0.333 0.756 Br
```

---

Compound: NdSnBr5
Source: the Alexandria database
Functional: GGA-PBE
Structure: optimized geometry

Formation energy (no corrections) (eV per atom): -1.3751
DFT total energy (eV/cell): -53.5
Magnetic moment (μB per formula unit): 0.0
SG: No. 11

```
NdSnBr5
1.0
8.430 0.000 0.000
0.000 4.376 0.000
-0.907 0.000 14.043
Nd Sn Br
2 2 10
direct
0.090 0.250 0.149 Nd
0.910 0.750 0.851 Nd
0.406 0.750 0.367 Sn
0.594 0.250 0.633 Sn
0.110 0.250 0.793 Br
0.150 0.250 0.365 Br
0.181 0.750 0.014 Br
0.357 0.750 0.568 Br
0.426 0.250 0.183 Br
0.574 0.750 0.817 Br
0.643 0.250 0.432 Br
0.819 0.250 0.986 Br
0.850 0.750 0.635 Br
0.890 0.750 0.207 Br
```

---

Compound: Nd7SnBr12
Source: the Alexandria database
Functional: GGA-PBE
Structure: optimized geometry

Formation energy (no corrections) (eV per atom): -1.5932
DFT total energy (eV/cell): -89.3
Magnetic moment (μB per formula unit): 0.0
SG: No. 148

```
Nd7SnBr12
1.0
7.786 4.495 3.372
-7.786 4.495 3.372
0.000 -8.990 3.372
Nd Sn Br
7 1 12
direct
0.000 0.000 0.000 Nd
0.158 0.381 0.457 Nd
0.381 0.457 0.158 Nd
0.457 0.158 0.381 Nd
0.543 0.842 0.619 Nd
0.619 0.543 0.842 Nd
0.842 0.619 0.543 Nd
0.500 0.500 0.500 Sn
0.025 0.338 0.106 Br
0.106 0.025 0.338 Br
0.195 0.728 0.579 Br
0.272 0.421 0.805 Br
0.338 0.106 0.025 Br
0.421 0.805 0.272 Br
0.579 0.195 0.728 Br
0.662 0.894 0.975 Br
0.728 0.579 0.195 Br
0.805 0.272 0.421 Br
0.894 0.975 0.662 Br
0.975 0.662 0.894 Br
```

---

Compound: NdTlSnBr6
Source: the Alexandria database
Functional: GGA-PBE
Structure: optimized geometry

Formation energy (no corrections) (eV per atom): -1.2969
DFT total energy (eV/cell): -65.7
Magnetic moment (μB per formula unit): 0.0
SG: No. 163

```
NdTlSnBr6
1.0
7.674 0.000 0.000
-3.837 6.646 0.000
0.000 0.000 14.332
Nd Tl Sn Br
2 2 2 12
direct
0.333 0.667 0.250 Nd
0.667 0.333 0.750 Nd
0.000 0.000 0.000 Tl
0.000 0.000 0.500 Tl
0.333 0.667 0.750 Sn
0.667 0.333 0.250 Sn
0.009 0.369 0.134 Br
0.009 0.640 0.366 Br
0.360 0.369 0.366 Br
0.360 0.991 0.134 Br
0.369 0.009 0.634 Br
0.369 0.360 0.866 Br
0.631 0.640 0.134 Br
0.631 0.991 0.366 Br
0.640 0.009 0.866 Br
0.640 0.631 0.634 Br
0.991 0.360 0.634 Br
0.991 0.631 0.866 Br
```

---

Compound: SrNdBr6
Source: the Alexandria database
Functional: GGA-PBE
Structure: optimized geometry

Formation energy (no corrections) (eV per atom): -1.5581
DFT total energy (eV/cell): -29.0
Magnetic moment (μB per formula unit): 0.0
SG: No. 225

```
SrNdBr6
1.0
0.000 5.929 5.929
5.929 0.000 5.929
5.929 5.929 0.000
Sr Nd Br
1 1 6
direct
0.000 0.000 0.000 Sr
0.500 0.500 0.500 Nd
0.257 0.257 0.743 Br
0.257 0.743 0.257 Br
0.257 0.743 0.743 Br
0.743 0.257 0.257 Br
0.743 0.257 0.743 Br
0.743 0.743 0.257 Br
```

---

Compound: SrNdBr4
Source: the Alexandria database
Functional: GGA-PBE
Structure: optimized geometry

Formation energy (no corrections) (eV per atom): -1.8894
DFT total energy (eV/cell): -49.0
Magnetic moment (μB per formula unit): 0.0
SG: No. 15

```
SrNdBr4
1.0
4.805 -6.928 0.000
4.805 6.928 0.000
-3.990 0.000 5.779
Sr Nd Br
2 2 8
direct
0.136 0.864 0.750 Sr
0.864 0.136 0.250 Sr
0.499 0.501 0.250 Nd
0.501 0.499 0.750 Nd
0.138 0.258 0.764 Br
0.204 0.556 0.417 Br
0.258 0.138 0.264 Br
0.444 0.796 0.083 Br
0.556 0.204 0.917 Br
0.742 0.862 0.736 Br
0.796 0.444 0.583 Br
0.862 0.742 0.236 Br
```